[1]
Entry from the Alexandria database: a relaxed structure of ZnSbCl2 (GGA-PBE).

Values from the calculation:
ΔE to the lowest computed polymorph ... 12.93 kcal/mol of atoms
Total DFT energy (no corrections) ... -9.04 eV/f.u.

a = 4.541 Å, b = 4.541 Å, c = 4.325 Å
α = 90.00°, β = 90.00°, γ = 90.00°
Space group P4/mmm (No. 123)
Inequivalent atoms, fractional coordinates:
Zn1 0.000 0.000 0.000 x1
Sb1 0.500 0.500 0.000 x1
Cl1 0.000 0.500 0.500 x2

---

[2]
Entry from the Alexandria database: a relaxed structure of PmNdSb (GGA-PBE).

Values from the calculation:
ΔE to the lowest computed polymorph ... 9.44 kcal/mol of atoms
Total DFT energy (no corrections) ... -14.97 eV/f.u.

a = 3.463 Å, b = 5.902 Å, c = 18.618 Å
α = 90.00°, β = 90.00°, γ = 90.00°
Space group Immm (No. 71)
Inequivalent atoms, fractional coordinates:
Pm1 0.000 0.246 0.000 x4
Nd1 0.000 0.500 0.327 x4
Sb1 0.000 0.500 0.156 x4

---

Please write out number 1 again, unchanged.
Entry from the Alexandria database: a relaxed structure of ZnSbCl2 (GGA-PBE).

Values from the calculation:
ΔE to the lowest computed polymorph ... 12.93 kcal/mol of atoms
Total DFT energy (no corrections) ... -9.04 eV/f.u.

a = 4.541 Å, b = 4.541 Å, c = 4.325 Å
α = 90.00°, β = 90.00°, γ = 90.00°
Space group P4/mmm (No. 123)
Inequivalent atoms, fractional coordinates:
Zn1 0.000 0.000 0.000 x1
Sb1 0.500 0.500 0.000 x1
Cl1 0.000 0.500 0.500 x2